The following is a GGA-PBE calculation of an optimized crystal structure of Nb3SiCl, from the Alexandria database.

Cell and atoms, written as POSCAR:
```
Nb3SiCl
1.0
-4.3210 1.1959 -0.5569
-1.0872 -4.3085 -0.8162
-0.7471 -0.6466 4.4085
Nb Si Cl
3 1 1
Cartesian
-0.5436 -2.1542 -0.4081
-0.3736 -0.3233 2.2043
-2.1605 0.5979 -0.2785
-3.0777 -1.8796 1.5177
0.0000 0.0000 0.0000
```

Summary:
polymorph energy (0 for the lowest one)	0.000	eV per atom
DOS(E_F)	2.98	states/eV/cell
formation energy from raw total energies	307	kJ/mol of formula units
SG	Pm-3m
magnetic moment	0.00	μB/f.u.

The following is a GGA-PBE calculation of an optimized crystal structure of Nb2SiCl, from the Alexandria database.

Cell and atoms, written as POSCAR:
```
Nb2SiCl
1.0
2.3717 1.4596 3.5517
-0.0966 4.3665 1.1377
-2.1344 1.3067 3.7559
Nb Si Cl
2 1 1
Cartesian
0.0352 1.7832 2.1113
0.1056 5.3495 6.3340
0.0000 0.0000 0.0000
0.0704 3.5664 4.2227
```

Summary:
polymorph energy (0 for the lowest one)	0.000	eV per atom
DOS(E_F)	5.69	states/eV/cell
formation energy from raw total energies	5	kJ/mol of formula units
SG	Fm-3m
magnetic moment	0.85	μB/f.u.

The following is a GGA-PBE calculation of an optimized crystal structure of NbSiCl2, from the Alexandria database.

Cell and atoms, written as POSCAR:
```
NbSiCl2
1.0
1.7793 0.0000 12.1274
-0.8896 1.5409 12.1274
-0.8896 -1.5409 12.1274
Nb Si Cl
1 1 2
Cartesian
0.0000 0.0000 18.1911
0.0000 0.0000 0.0000
0.0000 0.0000 32.1320
0.0000 0.0000 4.2503
```

Summary:
polymorph energy (0 for the lowest one)	0.000	eV per atom
DOS(E_F)	2.06	states/eV/cell
formation energy from raw total energies	-105	kJ/mol of formula units
SG	R-3m
magnetic moment	0.00	μB/f.u.

The following is a GGA-PBE calculation of an optimized crystal structure of NbSiCl2, from the Alexandria database.

Cell and atoms, written as POSCAR:
```
NbSiCl2
1.0
0.0000 3.2243 3.2243
3.2243 0.0000 3.2243
3.2243 3.2243 0.0000
Nb Si Cl
1 1 2
Cartesian
3.2243 3.2243 3.2243
0.0000 0.0000 0.0000
1.6121 1.6121 1.6121
4.8364 4.8364 4.8364
```

Summary:
polymorph energy (0 for the lowest one)	0.646	eV per atom
DOS(E_F)	3.29	states/eV/cell
formation energy from raw total energies	144	kJ/mol of formula units
SG	Fm-3m
magnetic moment	0.00	μB/f.u.

The following is a GGA-PBE calculation of an optimized crystal structure of NbSiCl2, from the Alexandria database.

Cell and atoms, written as POSCAR:
```
NbSiCl2
1.0
8.5315 1.2420 4.0489
8.1247 -1.7835 4.6402
9.2913 -0.8773 1.9040
Nb Si Cl
1 1 2
Cartesian
0.0000 0.0000 0.0000
12.9738 -0.7094 5.2966
23.7512 -1.2987 9.6964
2.1964 -0.1201 0.8967
```

Summary:
polymorph energy (0 for the lowest one)	0.372	eV per atom
DOS(E_F)	2.27	states/eV/cell
formation energy from raw total energies	38	kJ/mol of formula units
SG	R-3m
magnetic moment	0.00	μB/f.u.

The following is a GGA-PBE calculation of an optimized crystal structure of NbSiCl2, from the Alexandria database.

Cell and atoms, written as POSCAR:
```
NbSiCl2
1.0
8.9957 0.0000 0.0000
0.0000 8.9957 0.0000
4.4979 4.4979 2.5238
Nb Si Cl
2 2 4
Cartesian
0.0000 0.0000 0.0000
8.9957 4.4979 1.2619
4.4979 4.4979 0.0000
4.4979 8.9957 1.2619
8.0768 2.2489 0.6309
9.9147 6.7468 0.6309
6.7468 5.4168 1.8928
11.2447 3.5789 1.8928
```

Summary:
polymorph energy (0 for the lowest one)	0.263	eV per atom
DOS(E_F)	8.54	states/eV/cell
formation energy from raw total energies	-4	kJ/mol of formula units
SG	I-42d
magnetic moment	1.21	μB/f.u.

Q: Among the records above, which one has the lowest DOS(E_F)?
A: number 3

Q: What is the formula in the first record?
A: Nb3SiCl

Q: Number 3 is which compound?
A: NbSiCl2